No. 1
Here is an optimized crystal structure of Pr3Co4C2 from Alexandria via LeMat-Bulk. Energies are from GGA-PBE.

formation energy = 0.04 eV per formula unit
space group = C2/m
calculated density = 7.31 g/cm³

a = 6.1068 Å, b = 6.1068 Å, c = 8.0061 Å
α = 116.69°, β = 116.69°, γ = 36.11°
Last column: nearest neighbours and their distance in Å.
Fractional positions:
Pr1 0.0000 0.0000 0.0000  4 Co 2.69
Pr2 0.3696 0.3696 0.2639  2 C 2.71-2.78, 2 Co 2.80
Pr3 0.6304 0.6304 0.7361  2 C 2.71-2.78, 2 Co 2.80
Co1 0.1718 0.1718 0.4400  3 C 1.93-1.95
Co2 0.3241 0.3241 0.7984  1 C 1.86
Co3 0.6759 0.6759 0.2016  1 C 1.86
Co4 0.8282 0.8282 0.5600  3 C 1.93-1.95
C1 0.3616 0.3616 0.5971  4 Co 1.86-1.95
C2 0.6384 0.6384 0.4029  4 Co 1.86-1.95

---

No. 2
Here is an optimized crystal structure of Al2HgPt from Alexandria via LeMat-Bulk. Energies are from GGA-PBE.

formation energy = -0.48 eV per formula unit
space group = I-42d
calculated density = 9.23 g/cm³

a = 5.9494 Å, b = 5.9494 Å, c = 5.9494 Å
α = 107.98°, β = 107.98°, γ = 112.49°
Last column: nearest neighbours and their distance in Å.
Fractional positions:
Al1 0.0906 0.1250 0.4656  2 Pt 2.45
Al2 0.3750 0.9094 0.0344  2 Pt 2.45
Al3 0.6594 0.6250 0.5344  2 Pt 2.45
Al4 0.8750 0.3406 0.9656  2 Pt 2.45
Hg1 0.2500 0.7500 0.5000  4 Al 2.77
Hg2 0.5000 0.5000 0.0000  4 Al 2.77
Pt1 0.0000 0.0000 0.0000  4 Al 2.45
Pt2 0.7500 0.2500 0.5000  4 Al 2.45

---

No. 3
Here is an optimized crystal structure of KBi2Pt2 from Alexandria via LeMat-Bulk. Energies are from GGA-PBE.

formation energy = -0.69 eV per formula unit
space group = P4/mbm
calculated density = 11.45 g/cm³

a = 8.7009 Å, b = 8.7009 Å, c = 3.2470 Å
α = 90.00°, β = 90.00°, γ = 90.00°
Last column: nearest neighbours and their distance in Å.
Fractional positions:
K1 0.0000 0.0000 0.0000  2 K 3.25, 4 Bi 3.35
K2 0.5000 0.5000 0.0000  2 K 3.25, 4 Bi 3.35
Bi1 0.1415 0.3585 0.0000  6 Pt 2.97-3.09, 2 Bi 3.25
Bi2 0.3585 0.8585 0.0000  6 Pt 2.97-3.09, 2 Bi 3.25
Bi3 0.6415 0.1415 0.0000  6 Pt 2.97-3.09, 2 Bi 3.25
Bi4 0.8585 0.6415 0.0000  6 Pt 2.97-3.09, 2 Bi 3.25
Pt1 0.1444 0.6444 0.5000  6 Bi 2.97-3.09, 2 Pt 3.25
Pt2 0.3556 0.1444 0.5000  6 Bi 2.97-3.09, 2 Pt 3.25
Pt3 0.6444 0.8556 0.5000  6 Bi 2.97-3.09, 2 Pt 3.25
Pt4 0.8556 0.3556 0.5000  6 Bi 2.97-3.09, 2 Pt 3.25

---

No. 4
Here is an optimized crystal structure of InAg2GeMo from Alexandria via LeMat-Bulk. Energies are from GGA-PBE.

formation energy = 4.79 eV per formula unit
space group = P4/mmm
calculated density = 6.34 g/cm³

a = 5.2092 Å, b = 5.2092 Å, c = 4.8189 Å
α = 90.00°, β = 90.00°, γ = 90.00°
Last column: nearest neighbours and their distance in Å.
Fractional positions:
In1 0.0000 0.0000 0.0000  8 Ag 3.55, 4 Ge 3.68
Ag1 0.0000 0.5000 0.5000  2 Mo 2.60
Ag2 0.5000 0.0000 0.5000  2 Mo 2.60
Ge1 0.5000 0.5000 0.0000  2 Mo 2.41
Mo1 0.5000 0.5000 0.5000  2 Ge 2.41, 4 Ag 2.60

---

What did we get for spin magnetization? Answer: 0.000; 0.000; 0.000; 0.000 μB per atom, in the order shown.
What did we get for density of states at the Fermi level? Answer: 7.34; 2.69; 1.43; 3.98 states/eV/cell, in the order shown.
What did we get for total DFT energy (no corrections)? Answer: -61.17; -14.31; -21.63; -19.10 eV per formula unit, in the order shown.